# 1
A relaxed LiZnCd2O4 crystal, computed with PBE.

Values from the calculation:
V, Å³ per atom: 11.63
DOS(E_F), states/eV per cell: 5.4

Cell lengths 5.489, 3.239, 5.532 Å; angles 90.00, 108.90, 90.00 degrees
Element x y z (fractional)
Li: 0.000 0.000 0.000
Zn: 0.000 0.500 0.500
Cd: 0.500 0.000 0.500
Cd: 0.500 0.500 0.000
O: 0.226 0.000 0.743
O: 0.230 0.500 0.260
O: 0.770 0.500 0.740
O: 0.774 0.000 0.257

=====

# 2
A relaxed Ba3Re crystal, computed with PBE.

Values from the calculation:
V, Å³ per atom: 37.89
DOS(E_F), states/eV per cell: 14.5
Energy of formation, meV/atom: 1248
ΔE to the lowest computed polymorph, meV per atom: 836

Cell lengths 11.750, 11.750, 3.803 Å; angles 90.00, 90.00, 120.00 degrees
Element x y z (fractional)
Ba: 0.000 0.500 0.000
Ba: 0.167 0.333 0.333
Ba: 0.167 0.833 0.333
Ba: 0.333 0.167 0.667
Ba: 0.500 0.000 0.000
Ba: 0.500 0.500 0.000
Ba: 0.667 0.833 0.333
Ba: 0.833 0.167 0.667
Ba: 0.833 0.667 0.667
Re: 0.000 0.000 0.000
Re: 0.333 0.667 0.667
Re: 0.667 0.333 0.333

=====

Calculated uncorrected energy in order - -33.57 -39.67 eV for the cell shown